Record 1
Entry from Alexandria: an optimized crystal structure of Y2Si7Pd12 (PBE-GGA).

Final energy = -130.3 eV/f.u.
Raw formation energy = -814 meV per atom

a = 3.843 Å, b = 10.016 Å, c = 10.016 Å
α = 120.00°, β = 90.00°, γ = 90.00°
Atoms (fractional coordinates):
Y 0.246 0.333 0.667
Y 0.754 0.667 0.333
Si 0.500 0.000 0.000
Si 0.250 0.883 0.290
Si 0.250 0.407 0.117
Si 0.250 0.710 0.593
Si 0.750 0.117 0.710
Si 0.750 0.593 0.883
Si 0.750 0.290 0.407
Pd 0.249 0.620 0.063
Pd 0.249 0.443 0.380
Pd 0.249 0.937 0.557
Pd 0.751 0.380 0.937
Pd 0.751 0.557 0.620
Pd 0.751 0.063 0.443
Pd 0.250 0.112 0.258
Pd 0.250 0.146 0.888
Pd 0.250 0.742 0.854
Pd 0.750 0.888 0.742
Pd 0.750 0.854 0.112
Pd 0.750 0.258 0.146


Record 2
Entry from Alexandria: an optimized crystal structure of Pm3PdPt (PBE-GGA).

Energy of formation from the pure elements = -709 meV/atom
Final energy = -29.0 eV/f.u.

a = 6.788 Å, b = 7.920 Å, c = 9.797 Å
α = 88.01°, β = 90.00°, γ = 90.00°
Atoms (fractional coordinates):
Pm 0.003 0.881 0.245
Pm 0.997 0.119 0.755
Pm 0.503 0.119 0.255
Pm 0.497 0.881 0.745
Pm 0.565 0.706 0.416
Pm 0.435 0.294 0.584
Pm 0.065 0.294 0.084
Pm 0.935 0.706 0.916
Pm 0.091 0.665 0.582
Pm 0.909 0.335 0.418
Pm 0.591 0.335 0.918
Pm 0.409 0.665 0.082
Pd 0.216 0.003 0.492
Pd 0.784 0.997 0.508
Pd 0.716 0.997 0.008
Pd 0.284 0.003 0.992
Pt 0.797 0.563 0.176
Pt 0.203 0.437 0.824
Pt 0.297 0.437 0.324
Pt 0.703 0.563 0.676


Record 3
Entry from Alexandria: an optimized crystal structure of HgGe2Au2 (PBE-GGA).

Energy of formation from the pure elements = 150 meV/atom
Final energy = -15.3 eV/f.u.

a = 4.032 Å, b = 4.032 Å, c = 7.079 Å
α = 73.45°, β = 73.45°, γ = 90.00°
Atoms (fractional coordinates):
Ge 0.750 0.250 0.500
Ge 0.250 0.750 0.500
Au 0.394 0.394 0.212
Au 0.606 0.606 0.788
Hg 0.000 0.000 0.000


Record 4
Entry from Alexandria: an optimized crystal structure of CaCo2P (PBE-GGA).

Energy of formation from the pure elements = 285 meV/atom
Final energy = -20.5 eV/f.u.

a = 4.809 Å, b = 5.059 Å, c = 2.901 Å
α = 73.67°, β = 89.33°, γ = 118.16°
Site moments in Bohr magnetons follow the coordinates.
Atoms (fractional coordinates):
Ca 0.500 0.500 0.000  -0.07
Co 0.000 0.000 0.000  1.27
Co 0.500 0.000 0.500  1.27
P 0.000 0.500 0.500  0.07


Record 5
Entry from Alexandria: an optimized crystal structure of LiPmDyRu (PBE-GGA).

Energy of formation from the pure elements = -223 meV/atom
Final energy = -21.4 eV/f.u.

a = 4.972 Å, b = 4.972 Å, c = 4.972 Å
α = 60.00°, β = 60.00°, γ = 60.00°
Atoms (fractional coordinates):
Ru 0.750 0.750 0.750
Pm 0.000 0.000 0.000
Li 0.250 0.250 0.250
Dy 0.500 0.500 0.500


Record 6
Entry from Alexandria: an optimized crystal structure of CaLu2Ir (PBE-GGA).

Energy of formation from the pure elements = -479 meV/atom
Final energy = -21.8 eV/f.u.

a = 3.426 Å, b = 3.426 Å, c = 9.299 Å
α = 90.00°, β = 90.00°, γ = 90.00°
Atoms (fractional coordinates):
Ca 0.500 0.500 0.500
Ir 0.500 0.500 0.000
Lu 0.000 0.000 0.829
Lu 0.000 0.000 0.171


Record 7
Entry from Alexandria: an optimized crystal structure of MgZr2Ga2Ir5 (PBE-GGA).

Energy of formation from the pure elements = -540 meV/atom
Final energy = -74.4 eV/f.u.

a = 3.646 Å, b = 9.496 Å, c = 9.496 Å
α = 90.00°, β = 90.00°, γ = 90.00°
Atoms (fractional coordinates):
Mg 0.000 0.000 0.000
Mg 0.000 0.500 0.500
Zr 0.000 0.674 0.174
Zr 0.000 0.326 0.826
Zr 0.000 0.174 0.326
Zr 0.000 0.826 0.674
Ga 0.000 0.125 0.625
Ga 0.000 0.875 0.375
Ga 0.000 0.625 0.875
Ga 0.000 0.375 0.125
Ir 0.500 0.204 0.071
Ir 0.500 0.796 0.929
Ir 0.500 0.071 0.796
Ir 0.500 0.704 0.429
Ir 0.500 0.929 0.204
Ir 0.500 0.296 0.571
Ir 0.500 0.571 0.704
Ir 0.500 0.429 0.296
Ir 0.500 0.500 0.000
Ir 0.500 0.000 0.500


Record 8
Entry from Alexandria: an optimized crystal structure of Li3HfZr3Se8 (PBE-GGA).

Final energy = -89.4 eV/f.u.
Raw formation energy = -1343 meV per atom

a = 7.525 Å, b = 7.516 Å, c = 7.937 Å
α = 118.12°, β = 90.01°, γ = 120.03°
Atoms (fractional coordinates):
Li 0.000 0.000 0.000
Li 0.000 0.500 0.000
Li 0.500 0.500 0.000
Hf 0.000 0.000 0.500
Zr 0.500 0.000 0.500
Zr 0.500 0.500 0.500
Zr 0.000 0.500 0.500
Se 0.249 0.498 0.247
Se 0.751 0.502 0.753
Se 0.752 0.505 0.253
Se 0.248 0.495 0.747
Se 0.752 0.001 0.253
Se 0.248 0.999 0.747
Se 0.248 0.001 0.253
Se 0.752 0.999 0.747


Record 9
Entry from Alexandria: an optimized crystal structure of Zr4PdN2 (PBE-GGA).

Final energy = -64.4 eV/f.u.
Raw formation energy = -1198 meV per atom

a = 3.354 Å, b = 5.848 Å, c = 11.912 Å
α = 90.00°, β = 90.00°, γ = 106.67°
Atoms (fractional coordinates):
Zr 0.763 0.525 0.106
Zr 0.763 0.525 0.394
Zr 0.237 0.475 0.894
Zr 0.237 0.475 0.606
Zr 0.923 0.847 0.750
Zr 0.077 0.153 0.250
Zr 0.500 0.000 0.000
Zr 0.500 0.000 0.500
Pd 0.612 0.224 0.750
Pd 0.388 0.776 0.250
N 0.133 0.267 0.439
N 0.867 0.733 0.939
N 0.133 0.267 0.061
N 0.867 0.733 0.561


Record 10
Entry from Alexandria: an optimized crystal structure of YRe (PBE-GGA).

Energy of formation from the pure elements = 347 meV/atom
Final energy = -18.2 eV/f.u.

a = 3.237 Å, b = 4.272 Å, c = 6.644 Å
α = 90.00°, β = 90.00°, γ = 90.00°
Atoms (fractional coordinates):
Re 0.000 0.000 0.073
Re 0.000 0.500 0.260
Y 0.500 0.000 0.474
Y 0.500 0.500 0.859


Record 11
Entry from Alexandria: an optimized crystal structure of K2HgSb (PBE-GGA).

Final energy = -7.9 eV/f.u.
Raw formation energy = -318 meV per atom

a = 6.793 Å, b = 6.793 Å, c = 6.139 Å
α = 74.83°, β = 74.83°, γ = 31.49°
Atoms (fractional coordinates):
Hg 0.216 0.216 0.222
K 0.972 0.972 0.062
K 0.779 0.779 0.689
Sb 0.532 0.532 0.527


Record 12
Entry from Alexandria: an optimized crystal structure of Ba3NpS6 (PBE-GGA).

Final energy = -60.3 eV/f.u.
Raw formation energy = -1686 meV per atom

a = 8.574 Å, b = 8.574 Å, c = 8.574 Å
α = 89.35°, β = 89.35°, γ = 89.35°
Site moments in Bohr magnetons follow the coordinates.
Atoms (fractional coordinates):
Ba 0.388 0.112 0.750  0.00
Ba 0.112 0.750 0.388  0.00
Ba 0.750 0.388 0.112  0.00
Ba 0.888 0.250 0.612  0.00
Ba 0.250 0.612 0.888  0.00
Ba 0.612 0.888 0.250  0.00
Np 0.500 0.500 0.500  1.56
Np 0.000 0.000 0.000  1.56
S 0.926 0.719 0.064  -0.06
S 0.719 0.064 0.926  -0.06
S 0.064 0.926 0.719  -0.06
S 0.426 0.564 0.219  -0.06
S 0.564 0.219 0.426  -0.06
S 0.219 0.426 0.564  -0.06
S 0.074 0.281 0.936  -0.06
S 0.281 0.936 0.074  -0.06
S 0.936 0.074 0.281  -0.06
S 0.574 0.436 0.781  -0.06
S 0.436 0.781 0.574  -0.06
S 0.781 0.574 0.436  -0.06


Record 13
Entry from Alexandria: an optimized crystal structure of Li2Zn5Ni2Rh (PBE-GGA).

Energy of formation from the pure elements = -226 meV/atom
Final energy = -31.4 eV/f.u.

a = 3.720 Å, b = 8.738 Å, c = 8.738 Å
α = 90.00°, β = 90.00°, γ = 90.00°
Atoms (fractional coordinates):
Li 0.000 0.675 0.175
Li 0.000 0.325 0.825
Li 0.000 0.175 0.325
Li 0.000 0.825 0.675
Zn 0.500 0.201 0.073
Zn 0.500 0.799 0.927
Zn 0.500 0.073 0.799
Zn 0.500 0.701 0.427
Zn 0.500 0.927 0.201
Zn 0.500 0.299 0.573
Zn 0.500 0.573 0.701
Zn 0.500 0.427 0.299
Zn 0.500 0.500 0.000
Zn 0.500 0.000 0.500
Ni 0.000 0.121 0.621
Ni 0.000 0.879 0.379
Ni 0.000 0.621 0.879
Ni 0.000 0.379 0.121
Rh 0.000 0.000 0.000
Rh 0.000 0.500 0.500


Record 14
Entry from Alexandria: an optimized crystal structure of Ti2CoRu (PBE-GGA).

Energy of formation from the pure elements = -560 meV/atom
Final energy = -34.4 eV/f.u.

a = 3.055 Å, b = 3.055 Å, c = 5.955 Å
α = 90.00°, β = 90.00°, γ = 90.00°
Site moments in Bohr magnetons follow the coordinates.
Atoms (fractional coordinates):
Ru 0.500 0.500 0.500  0.00
Co 0.500 0.500 0.000  0.23
Ti 0.000 0.000 0.758  0.00
Ti 0.000 0.000 0.242  0.00